VASP calculation (PBE) on a relaxed structure of LaGd2Mg3Tl3.

Output
Size of the total moment, μB/cell: 0.03
E, eV/cell: -58.3

Cell: 4.7383 13.3739 7.6029 Å, 90.00 90.00 90.00°
Closest atoms and distances in Å follow each position.
Space group Amm2 (No. 38)
One atom of each set of equivalent atoms:
La  0.0000  0.0000  0.0000 [2 per cell]  5 Tl 3.34-3.35, 6 Mg 3.42-3.72
Gd  0.0000  0.2142  0.6453 [4 per cell]  5 Tl 3.26-3.27, 2 Mg 3.47
Mg  0.5000  0.0000  0.6750 [2 per cell]  4 Tl 2.97-3.00, 2 Mg 3.20
Mg  0.5000  0.1213  0.3117 [4 per cell]  4 Tl 2.92-3.03, 2 Mg 3.20-3.25
Tl  0.0000  0.0000  0.4404 [2 per cell]  6 Mg 2.97-3.03, 2 Gd 3.26
Tl  0.5000  0.1711  0.9310 [4 per cell]  3 Mg 2.92-3.00, 4 Gd 3.26-3.27

=====

VASP calculation (PBE) on a relaxed structure of SmPaBi.

Output
Size of the total moment, μB/cell: 1.36
Offset from the most stable computed form, eV/atom: 0.000
E, eV/cell: -65.2

Cell: 7.3112 7.3112 7.3112 Å, 90.00 90.00 90.00°
Closest atoms and distances in Å follow each position.
Space group F-43m (No. 216)
One atom of each set of equivalent atoms:
Sm  0.0000  0.0000  0.0000 [4 per cell]  4 Pa 3.17, 4 Bi 3.17
Pa  0.2500  0.2500  0.2500 [4 per cell]  4 Sm 3.17
Bi  0.2500  0.2500  0.7500 [4 per cell]  4 Sm 3.17